No. 1
# TlTcSe2 | Alexandria via LeMat-Bulk | PBEsol | optimized geometry
data_TlTcSe2
_space_group_name_H-M_alt 'P 1'
_space_group_IT_number 1
_cell_length_a 3.0578
_cell_length_b 3.0578
_cell_length_c 8.5275
_cell_angle_alpha 90.00
_cell_angle_beta 90.00
_cell_angle_gamma 90.00
loop_
_space_group_symop_operation_xyz
'x,y,z'
loop_
_atom_site_label
_atom_site_type_symbol
_atom_site_fract_x
_atom_site_fract_y
_atom_site_fract_z
Tl1 Tl 0.0000 0.0000 0.0000
Tc1 Tc 0.0000 0.0000 0.5000
Se1 Se 0.5000 0.5000 0.3227
Se2 Se 0.5000 0.5000 0.6773
# Total moment, μB/atom: 0.000
# Offset from the most stable computed form, eV per atom: 0.2020
# DFT total energy, eV for the cell shown: -22.13
# ΔE_f (raw), eV/atom: -0.133
# DOS(E_F), states/eV per cell: 2.255
# ρ, kg/m3: 9586



No. 2
# TlTcSe2 | Alexandria via LeMat-Bulk | PBEsol | optimized geometry
data_TlTcSe2
_space_group_name_H-M_alt 'P 1'
_space_group_IT_number 1
_cell_length_a 9.4166
_cell_length_b 9.4166
_cell_length_c 9.4166
_cell_angle_alpha 19.58
_cell_angle_beta 19.58
_cell_angle_gamma 19.58
loop_
_space_group_symop_operation_xyz
'x,y,z'
loop_
_atom_site_label
_atom_site_type_symbol
_atom_site_fract_x
_atom_site_fract_y
_atom_site_fract_z
Tl1 Tl 0.0000 0.0000 0.0000
Tc1 Tc 0.5000 0.5000 0.5000
Se1 Se 0.2288 0.2288 0.2288
Se2 Se 0.7712 0.7712 0.7712
# Total moment, μB/atom: 0.000
# Offset from the most stable computed form, eV per atom: 0.1353
# DFT total energy, eV for the cell shown: -22.40
# ΔE_f (raw), eV/atom: -0.200
# DOS(E_F), states/eV per cell: 2.050
# ρ, kg/m3: 9319



No. 3
# Tc2WSe | Alexandria via LeMat-Bulk | PBEsol | optimized geometry
data_Tc2WSe
_space_group_name_H-M_alt 'P 1'
_space_group_IT_number 1
_cell_length_a 4.8719
_cell_length_b 4.8719
_cell_length_c 4.8719
_cell_angle_alpha 134.21
_cell_angle_beta 134.21
_cell_angle_gamma 66.76
loop_
_space_group_symop_operation_xyz
'x,y,z'
loop_
_atom_site_label
_atom_site_type_symbol
_atom_site_fract_x
_atom_site_fract_y
_atom_site_fract_z
Tc1 Tc 0.2500 0.7500 0.5000
Tc2 Tc 0.7500 0.2500 0.5000
W1 W 0.0000 0.0000 0.0000
Se1 Se 0.5000 0.5000 0.0000
# Total moment, μB/atom: 0.000
# DFT total energy, eV for the cell shown: -38.18
# ΔE_f (raw), eV/atom: 0.503
# DOS(E_F), states/eV per cell: 4.509
# ρ, kg/m3: 13032



No. 4
# TcW2Se | Alexandria via LeMat-Bulk | PBEsol | optimized geometry
data_TcW2Se
_space_group_name_H-M_alt 'P 1'
_space_group_IT_number 1
_cell_length_a 2.9542
_cell_length_b 2.9542
_cell_length_c 6.8671
_cell_angle_alpha 90.00
_cell_angle_beta 90.00
_cell_angle_gamma 90.00
loop_
_space_group_symop_operation_xyz
'x,y,z'
loop_
_atom_site_label
_atom_site_type_symbol
_atom_site_fract_x
_atom_site_fract_y
_atom_site_fract_z
Tc1 Tc 0.0000 0.0000 0.0000
W1 W 0.5000 0.5000 0.2528
W2 W 0.5000 0.5000 0.7472
Se1 Se 0.0000 0.0000 0.5000
# Total moment, μB/atom: 0.000
# DFT total energy, eV for the cell shown: -41.99
# ΔE_f (raw), eV/atom: 0.186
# DOS(E_F), states/eV per cell: 3.109
# ρ, kg/m3: 15091



No. 5
# TcWSe | Alexandria via LeMat-Bulk | PBEsol | optimized geometry
data_TcWSe
_space_group_name_H-M_alt 'P 1'
_space_group_IT_number 1
_cell_length_a 4.1977
_cell_length_b 4.1977
_cell_length_c 4.1977
_cell_angle_alpha 60.00
_cell_angle_beta 60.00
_cell_angle_gamma 60.00
loop_
_space_group_symop_operation_xyz
'x,y,z'
loop_
_atom_site_label
_atom_site_type_symbol
_atom_site_fract_x
_atom_site_fract_y
_atom_site_fract_z
Tc1 Tc 0.0000 0.0000 0.0000
W1 W 0.7500 0.7500 0.7500
Se1 Se 0.5000 0.5000 0.5000
# Total moment, μB/atom: 0.000
# Offset from the most stable computed form, eV per atom: 0.2878
# DFT total energy, eV for the cell shown: -27.29
# ΔE_f (raw), eV/atom: 0.544
# DOS(E_F), states/eV per cell: 2.447
# ρ, kg/m3: 11455



No. 6
# Tc2WSe | Alexandria via LeMat-Bulk | PBEsol | optimized geometry
data_Tc2WSe
_space_group_name_H-M_alt 'P 1'
_space_group_IT_number 1
_cell_length_a 2.7848
_cell_length_b 2.7848
_cell_length_c 8.5734
_cell_angle_alpha 90.00
_cell_angle_beta 90.00
_cell_angle_gamma 112.88
loop_
_space_group_symop_operation_xyz
'x,y,z'
loop_
_atom_site_label
_atom_site_type_symbol
_atom_site_fract_x
_atom_site_fract_y
_atom_site_fract_z
Tc1 Tc 0.0000 0.0000 0.2422
Tc2 Tc 0.0000 0.0000 0.7578
W1 W 0.5000 0.5000 0.0000
Se1 Se 0.5000 0.5000 0.5000
# Total moment, μB/atom: 0.000
# DFT total energy, eV for the cell shown: -38.59
# ΔE_f (raw), eV/atom: 0.399
# DOS(E_F), states/eV per cell: 3.631
# ρ, kg/m3: 12437



No. 7
# TcWSe | Alexandria via LeMat-Bulk | PBEsol | optimized geometry
data_TcWSe
_space_group_name_H-M_alt 'P 1'
_space_group_IT_number 1
_cell_length_a 2.8948
_cell_length_b 2.8948
_cell_length_c 6.2807
_cell_angle_alpha 90.00
_cell_angle_beta 90.00
_cell_angle_gamma 120.00
loop_
_space_group_symop_operation_xyz
'x,y,z'
loop_
_atom_site_label
_atom_site_type_symbol
_atom_site_fract_x
_atom_site_fract_y
_atom_site_fract_z
Tc1 Tc 0.0000 0.0000 0.0000
W1 W 0.3333 0.6667 0.6662
Se1 Se 0.6667 0.3333 0.3261
# Total moment, μB/atom: 0.000
# Offset from the most stable computed form, eV per atom: 0.0000
# DFT total energy, eV for the cell shown: -28.15
# ΔE_f (raw), eV/atom: 0.257
# DOS(E_F), states/eV per cell: 3.081
# ρ, kg/m3: 13145



No. 8
# TcW2Se | Alexandria via LeMat-Bulk | PBEsol | optimized geometry
data_TcW2Se
_space_group_name_H-M_alt 'P 1'
_space_group_IT_number 1
_cell_length_a 4.4311
_cell_length_b 4.4311
_cell_length_c 4.4311
_cell_angle_alpha 60.00
_cell_angle_beta 60.00
_cell_angle_gamma 60.00
loop_
_space_group_symop_operation_xyz
'x,y,z'
loop_
_atom_site_label
_atom_site_type_symbol
_atom_site_fract_x
_atom_site_fract_y
_atom_site_fract_z
Tc1 Tc 0.0000 0.0000 0.0000
W1 W 0.5000 0.5000 0.5000
W2 W 0.7500 0.7500 0.7500
Se1 Se 0.2500 0.2500 0.2500
# Total moment, μB/atom: 0.000
# DFT total energy, eV for the cell shown: -40.50
# ΔE_f (raw), eV/atom: 0.559
# DOS(E_F), states/eV per cell: 4.471
# ρ, kg/m3: 14700